Below is a relaxed CaMoP2 crystal, with properties calculated at the PBE-GGA level.

Geometry as POSCAR:
```
CaMoP2
1.0
6.4654 0.0000 0.0000
0.0000 6.4654 0.0000
0.0000 0.0000 6.4654
Ca Mo P
4 4 8
Direct
0.0000 0.0000 0.0000 Ca
0.0000 0.5000 0.5000 Ca
0.5000 0.0000 0.5000 Ca
0.5000 0.5000 0.0000 Ca
0.2500 0.2500 0.2500 Mo
0.2500 0.7500 0.7500 Mo
0.7500 0.2500 0.7500 Mo
0.7500 0.7500 0.2500 Mo
0.0000 0.0000 0.5000 P
0.0000 0.5000 0.0000 P
0.2500 0.2500 0.7500 P
0.2500 0.7500 0.2500 P
0.5000 0.0000 0.0000 P
0.5000 0.5000 0.5000 P
0.7500 0.2500 0.2500 P
0.7500 0.7500 0.7500 P
```

## Properties
Calculated density = 4.87 g cm⁻³
Magnetic moment = 1.4 μB per formula unit
Distance to the lowest polymorph of the same formula = 1.226 eV per atom
E_form = 2.0 eV per formula unit

***

Below is a relaxed CaMoP2 crystal, with properties calculated at the PBE-GGA level.

Geometry as POSCAR:
```
CaMoP2
1.0
3.1244 0.0000 0.0000
0.0000 3.1244 0.0000
0.0000 0.0000 6.8687
Ca Mo P
1 1 2
Direct
0.0000 0.0000 0.0000 Ca
0.0000 0.0000 0.5000 Mo
0.5000 0.5000 0.2995 P
0.5000 0.5000 0.7005 P
```

## Properties
Calculated density = 4.90 g cm⁻³
Magnetic moment = 0.0 μB per formula unit
Distance to the lowest polymorph of the same formula = 0.146 eV per atom
E_form = -2.3 eV per formula unit